Compound: MgMnZn2O4
Source: the Alexandria database
Functional: GGA+U
Structure: relaxed

Structure (extended XYZ):
```
8
Lattice="-2.353 2.353 4.607 2.353 -2.353 4.607 2.353 2.353 -4.607" Properties=species:S:1:pos:R:3 pbc="T T T"
Mg 0.000 0.000 0.000
Mn 0.000 0.000 4.607
Zn 2.353 0.000 2.303
Zn 0.000 2.353 2.303
O 1.218 -1.218 3.437
O 1.135 1.135 1.169
O -1.218 1.218 3.437
O 1.218 1.218 5.776
```

Summary:
DFT total energy	-5.70	eV per atom
magnetization	5.000	μB per formula unit
SG	I-42m, No. 121